1.
Material: Ce2PmGe
Method: DFT, GGA-PBE
State: optimized geometry

Cell and atoms, written as POSCAR:
```
Ce2PmGe
1.0
4.535 0.000 0.000
0.000 4.535 0.000
0.000 0.000 4.928
Ce Pm Ge
2 1 1
Cartesian
0.000 2.268 0.000 Ce
2.268 0.000 0.000 Ce
0.000 0.000 2.464 Pm
2.268 2.268 2.464 Ge
```

Values from the calculation:
Energy above the most stable polymorph in this dataset = 0.1052 eV/atom
Crystal system = tetragonal
D(E_F) = 9.22 states/eV/f.u.

=====

2.
Material: VHgC2
Method: DFT, GGA-PBE
State: optimized geometry

Cell and atoms, written as POSCAR:
```
VHgC2
1.0
-2.486 2.486 4.664
2.486 -2.486 4.664
2.486 2.486 -4.664
V Hg C
2 2 4
Cartesian
0.000 0.000 0.000 V
0.000 2.486 2.332 V
2.486 0.000 2.332 Hg
0.000 0.000 4.664 Hg
3.729 0.901 -1.166 C
0.901 1.243 1.166 C
-1.243 1.585 3.498 C
1.585 1.243 5.830 C
```

Values from the calculation:
Crystal system = tetragonal
Uncorrected energy = -5.901 eV per atom
D(E_F) = 2.29 states/eV/f.u.

=====

3.
Material: Ni4AuCl
Method: DFT, GGA-PBE
State: optimized geometry

Cell and atoms, written as POSCAR:
```
Ni4AuCl
1.0
0.000 3.445 3.445
3.445 0.000 3.445
3.445 3.445 0.000
Ni Au Cl
4 1 1
Cartesian
0.861 0.861 0.861 Ni
2.584 2.584 0.861 Ni
2.584 0.861 2.584 Ni
0.861 2.584 2.584 Ni
5.167 5.167 5.167 Au
3.445 3.445 3.445 Cl
```

Values from the calculation:
Crystal system = cubic
D(E_F) = 9.26 states/eV/f.u.
Formation energy from raw total energies = 50.0 kJ per mole of atoms

=====

4.
Material: CaPaIn2
Method: DFT, GGA-PBE
State: optimized geometry

Cell and atoms, written as POSCAR:
```
CaPaIn2
1.0
0.000 3.802 3.802
3.802 0.000 3.802
3.802 3.802 0.000
Ca Pa In
1 1 2
Cartesian
0.000 0.000 0.000 Ca
3.802 3.802 3.802 Pa
1.901 1.901 1.901 In
5.703 5.703 5.703 In
```

Values from the calculation:
Energy above the most stable polymorph in this dataset = 0.1537 eV/atom
Crystal system = cubic
D(E_F) = 4.43 states/eV/f.u.

=====

5.
Material: BeTlAs2
Method: DFT, GGA-PBE
State: optimized geometry

Cell and atoms, written as POSCAR:
```
BeTlAs2
1.0
1.857 -2.665 0.000
1.857 2.665 0.000
0.000 0.000 8.476
Be Tl As
1 1 2
Cartesian
0.000 0.000 0.000 Be
0.000 0.000 4.238 Tl
1.857 0.000 1.369 As
1.857 0.000 7.107 As
```

Values from the calculation:
Energy above the most stable polymorph in this dataset = 0.2434 eV/atom
Crystal system = orthorhombic
D(E_F) = 1.40 states/eV/f.u.

=====

6.
Material: YMoIrS2
Method: DFT, GGA-PBE
State: optimized geometry

Cell and atoms, written as POSCAR:
```
YMoIrS2
1.0
5.086 0.000 0.000
0.000 5.086 0.000
0.000 0.000 5.197
Y Mo Ir S
1 1 1 2
Cartesian
0.000 0.000 0.000 Y
2.543 2.543 2.599 Mo
0.000 0.000 2.599 Ir
0.000 2.543 0.000 S
2.543 0.000 0.000 S
```

Values from the calculation:
Crystal system = tetragonal
D(E_F) = 3.80 states/eV/f.u.
Formation energy from raw total energies = 100.6 kJ per mole of atoms

=====

7.
Material: TaTc2Te
Method: DFT, GGA-PBE
State: optimized geometry

Cell and atoms, written as POSCAR:
```
TaTc2Te
1.0
4.378 -1.597 0.000
4.378 1.597 0.000
-1.040 0.000 4.994
Ta Tc Te
1 2 1
Cartesian
0.000 0.000 0.000 Ta
1.482 0.000 3.816 Tc
6.233 0.000 1.178 Tc
3.858 0.000 2.497 Te
```

Values from the calculation:
Crystal system = monoclinic
D(E_F) = 3.31 states/eV/f.u.
Formation energy from raw total energies = 21.7 kJ per mole of atoms

=====

8.
Material: PuAgBiPb
Method: DFT, GGA-PBE
State: optimized geometry

Cell and atoms, written as POSCAR:
```
PuAgBiPb
1.0
0.000 3.825 3.825
3.825 0.000 3.825
3.825 3.825 0.000
Pu Ag Bi Pb
1 1 1 1
Cartesian
0.000 0.000 0.000 Pu
1.913 1.913 1.913 Ag
5.738 5.738 5.738 Bi
3.825 3.825 3.825 Pb
```

Values from the calculation:
Energy above the most stable polymorph in this dataset = 0.1504 eV/atom
Crystal system = cubic
D(E_F) = 15.36 states/eV/f.u.

=====

9.
Material: Ho2PuScO8
Method: DFT, GGA-PBE
State: optimized geometry

Cell and atoms, written as POSCAR:
```
Ho2PuScO8
1.0
5.007 0.000 0.000
0.000 6.802 0.000
-0.183 0.000 5.005
Ho Pu Sc O
2 1 1 8
Cartesian
0.000 1.622 0.000 Ho
0.000 5.180 0.000 Ho
2.412 3.401 2.503 Pu
2.412 0.000 2.503 Sc
0.995 0.000 1.026 O
1.036 3.401 1.067 O
1.467 1.832 3.408 O
1.467 4.970 3.408 O
3.357 1.832 1.598 O
3.357 4.970 1.598 O
3.788 3.401 3.938 O
3.829 0.000 3.979 O
```

Values from the calculation:
Crystal system = monoclinic
Formation energy from raw total energies = -295.9 kJ per mole of atoms

=====

10.
Material: VMoPt2
Method: DFT, GGA-PBE
State: optimized geometry

Cell and atoms, written as POSCAR:
```
VMoPt2
1.0
0.000 3.155 3.155
3.155 0.000 3.155
3.155 3.155 0.000
V Mo Pt
1 1 2
Cartesian
0.000 0.000 0.000 V
3.155 3.155 3.155 Mo
1.577 1.577 1.577 Pt
4.732 4.732 4.732 Pt
```

Values from the calculation:
Energy above the most stable polymorph in this dataset = 0.4455 eV/atom
Crystal system = cubic
D(E_F) = 8.47 states/eV/f.u.

=====

11.
Material: LiAs2Pd
Method: DFT, GGA-PBE
State: optimized geometry

Cell and atoms, written as POSCAR:
```
LiAs2Pd
1.0
3.214 0.000 0.000
0.000 3.214 0.000
0.000 0.000 6.442
Li As Pd
1 2 1
Cartesian
0.000 0.000 0.000 Li
1.607 1.607 1.676 As
1.607 1.607 4.765 As
0.000 0.000 3.221 Pd
```

Values from the calculation:
Energy above the most stable polymorph in this dataset = 0.1278 eV/atom
Crystal system = tetragonal
D(E_F) = 1.13 states/eV/f.u.

=====

12.
Material: HoAg2Pd
Method: DFT, GGA-PBE
State: optimized geometry

Cell and atoms, written as POSCAR:
```
HoAg2Pd
1.0
4.051 0.000 0.000
0.000 4.051 0.000
0.000 0.000 4.788
Ho Ag Pd
1 2 1
Cartesian
0.000 0.000 0.000 Ho
0.000 2.025 2.394 Ag
2.025 0.000 2.394 Ag
2.025 2.025 0.000 Pd
```

Values from the calculation:
Energy above the most stable polymorph in this dataset = 0.1181 eV/atom
Crystal system = tetragonal
D(E_F) = 2.15 states/eV/f.u.